# Li2PmCuAu4

Li2PmCuAu4 after structural relaxation (PBE-GGA, the Alexandria database).

Calculated values
Size of the total moment   0.00 μB/f.u.
E   -29.795 eV per cell
Formation energy from the elements   -0.501 eV per atom

POSCAR file:
```
Li2PmCuAu4
1.0
2.2261 1.2852 8.6421
-2.2261 1.2852 8.6421
0.0000 -2.5705 8.6421
Li Pm Cu Au
2 1 1 4
Direct
0.2335 0.2335 0.2335 Li
0.7665 0.7665 0.7665 Li
0.0000 0.0000 0.0000 Pm
0.5000 0.5000 0.5000 Cu
0.1287 0.1287 0.1287 Au
0.3985 0.3985 0.3985 Au
0.6015 0.6015 0.6015 Au
0.8713 0.8713 0.8713 Au
```